[1]
{
  "formula": "MnNb2Ga",
  "functional": "PBE-GGA",
  "state": "optimized geometry",
  "lattice": [[7.102, 0.000, 0.000], [0.000, 7.102, 0.000], [3.551, 3.551, 2.671]],
  "species": ["Mn", "Ga", "Mn", "Nb", "Nb", "Nb", "Nb", "Ga"],
  "frac_coords": [[0.500, 0.500, 0.000], [0.000, 0.000, 0.000], [0.250, 0.750, 0.500], [0.169, 0.625, 0.250], [0.581, 0.125, 0.250], [0.875, 0.831, 0.750], [0.375, 0.419, 0.750], [0.750, 0.250, 0.500]],
  "total_magnetization_mub_per_fu": 0.00,
  "delta_e_f_ev_per_atom": 0.322
}

[2]
{
  "formula": "ReAg3Br",
  "functional": "PBE-GGA",
  "state": "optimized geometry",
  "lattice": [[-0.531, 1.129, -4.961], [-4.185, -2.935, -0.220], [-2.895, 4.035, 1.228]],
  "species": ["Ag", "Ag", "Br", "Ag", "Re"],
  "frac_coords": [[0.000, 0.000, 0.500], [0.500, 0.000, 0.000], [0.000, 0.000, 0.000], [0.000, 0.500, 0.000], [0.500, 0.500, 0.500]],
  "total_magnetization_mub_per_fu": 4.05,
  "de_polymorph_ev_per_atom": 0.2231,
  "e_form_raw_mev_per_atom": 1723.9
}

[3]
{
  "formula": "Dy2Al8Pt",
  "functional": "PBE-GGA",
  "state": "optimized geometry",
  "lattice": [[4.290, 0.000, 0.000], [0.000, 4.290, 0.000], [0.000, 0.000, 11.200]],
  "species": ["Al", "Dy", "Dy", "Al", "Al", "Al", "Al", "Al", "Al", "Al", "Pt"],
  "frac_coords": [[0.500, 0.000, 0.126], [0.000, 0.000, 0.688], [0.000, 0.000, 0.312], [0.000, 0.500, 0.500], [0.500, 0.500, 0.304], [0.000, 0.500, 0.874], [0.000, 0.500, 0.126], [0.500, 0.000, 0.500], [0.500, 0.500, 0.696], [0.500, 0.000, 0.874], [0.000, 0.000, 0.000]],
  "total_magnetization_mub_per_fu": 0.00,
  "delta_e_f_ev_per_atom": -0.561
}

[4]
{
  "formula": "K2CdAu",
  "functional": "PBE-GGA",
  "state": "optimized geometry",
  "lattice": [[-6.830, -3.924, -4.177], [-3.126, -7.057, -4.463], [-5.770, -6.786, -0.395]],
  "species": ["K", "K", "Au", "Cd"],
  "frac_coords": [[0.213, 0.213, 0.213], [0.037, 0.037, 0.037], [0.458, 0.458, 0.458], [0.792, 0.792, 0.792]],
  "total_magnetization_mub_per_fu": 0.00,
  "delta_e_f_ev_per_atom": -0.214
}

[5]
{
  "formula": "HoHfRu4",
  "functional": "PBE-GGA",
  "state": "optimized geometry",
  "lattice": [[-3.265, -2.936, 2.884], [1.872, -4.034, 2.797], [0.150, 0.284, 5.244]],
  "species": ["Ru", "Ho", "Ru", "Ru", "Hf", "Ru"],
  "frac_coords": [[0.625, 0.124, 0.625], [0.250, 0.250, 0.250], [0.124, 0.625, 0.625], [0.625, 0.625, 0.625], [0.000, 0.000, 0.000], [0.625, 0.625, 0.124]],
  "total_magnetization_mub_per_fu": 0.00,
  "delta_e_f_ev_per_atom": -0.321
}

[6]
{
  "formula": "H2WBr",
  "functional": "PBE-GGA",
  "state": "optimized geometry",
  "lattice": [[-0.702, 0.069, -5.683], [5.681, -0.129, -0.703], [2.423, -2.848, -3.219]],
  "species": ["H", "Br", "H", "W", "W", "H", "H", "Br"],
  "frac_coords": [[0.375, 0.273, 0.750], [0.500, 0.500, 0.000], [0.875, 0.977, 0.750], [0.750, 0.250, 0.500], [0.000, 0.000, 0.000], [0.727, 0.125, 0.250], [0.023, 0.625, 0.250], [0.250, 0.750, 0.500]],
  "total_magnetization_mub_per_fu": 0.00,
  "de_polymorph_ev_per_atom": 0.0000
}

[7]
{
  "formula": "CaTcPt2",
  "functional": "PBE-GGA",
  "state": "optimized geometry",
  "lattice": [[-4.487, 1.687, -0.231], [-0.146, -0.759, -2.710], [-1.770, -4.523, 1.358]],
  "species": ["Ca", "Tc", "Pt", "Pt"],
  "frac_coords": [[0.500, 0.625, 0.819], [0.000, 0.625, 0.419], [0.000, 0.125, 0.941], [0.500, 0.125, 0.321]],
  "total_magnetization_mub_per_fu": 0.62,
  "de_polymorph_ev_per_atom": 0.0146,
  "delta_e_f_ev_per_atom": -0.277
}

[8]
{
  "formula": "Zr2TcHW",
  "functional": "PBE-GGA",
  "state": "optimized geometry",
  "lattice": [[-3.445, 0.716, 3.126], [1.294, -3.887, 2.316], [2.154, 1.875, 1.944]],
  "species": ["Zr", "Zr", "H", "W", "Tc"],
  "frac_coords": [[0.500, 0.000, 0.000], [0.000, 0.500, 0.000], [0.000, 0.000, 0.000], [0.500, 0.500, 0.500], [0.000, 0.000, 0.500]],
  "final_energy_ev_per_cell": -44.2,
  "total_magnetization_mub_per_fu": 0.00
}